{
  "formula": "Li4MnCo3O8",
  "functional": "PBE with a Hubbard U",
  "state": "optimized geometry",
  "lattice": [[2.924, 5.160, 0.055], [-2.924, 5.160, 0.055], [0.000, 1.681, 4.815]],
  "species": ["O", "O", "Li", "O", "Li", "O", "O", "Co", "O", "Co", "Li", "Co", "O", "O", "Mn", "Li"],
  "fractional_positions": [[0.114, 0.114, 0.752], [0.377, 0.855, 0.269], [0.751, 0.751, 0.008], [0.145, 0.623, 0.731], [0.249, 0.249, 0.992], [0.855, 0.377, 0.269], [0.623, 0.145, 0.731], [0.247, 0.753, 0.000], [0.390, 0.390, 0.255], [0.000, 0.000, 0.500], [0.000, 0.500, 0.500], [0.753, 0.247, 0.000], [0.610, 0.610, 0.745], [0.886, 0.886, 0.248], [0.500, 0.500, 0.500], [0.500, 0.000, 0.500]],
  "m_tot_mub_per_cell": 8.01,
  "dos_at_fermi_per_ev_atom": 0.16,
  "de_polymorph_ev_per_fu": 0.58
}